(1)
The following is a DFT calculation (PBE) of La3Dy2NpN6 after structural relaxation.

## Properties
* formation energy (no corrections): -1429 meV per atom
* calculated total energy: -8.669 eV/atom

Structure (POSCAR):
```
La3Dy2NpN6
1.0
-4.937 3.594 0.494
0.162 -4.399 -4.261
-0.816 -3.568 5.123
La Dy Np N
3 2 1 6
Direct
0.169 0.831 0.500
0.831 0.169 0.500
0.500 0.500 0.500
0.334 0.666 0.000
0.666 0.334 0.000
0.000 0.000 0.000
0.929 0.622 0.788
0.764 0.764 0.218
0.071 0.378 0.212
0.622 0.929 0.788
0.236 0.236 0.782
0.378 0.071 0.212
```



(2)
The following is a DFT calculation (PBE) of LiGe2Br4 after structural relaxation.

## Properties
* formation energy (no corrections): -460 meV per atom
* calculated total energy: -3.009 eV/atom

Structure (POSCAR):
```
LiGe2Br4
1.0
-0.626 4.185 -5.112
-2.662 -5.711 -2.085
-3.062 2.289 5.425
Li Ge Br
1 2 4
Direct
0.500 0.500 0.000
0.250 0.750 0.500
0.750 0.250 0.500
0.319 0.194 0.513
0.806 0.319 0.124
0.194 0.681 0.876
0.681 0.806 0.487
```